Computed, not measured: a geometry-optimized K2CeNiO4 structure at the PBE+U level of DFT.

Cell lengths 5.8032, 5.8032, 5.8032 Å; angles 95.06, 117.12, 117.12 degrees
Last column: magnetic moment on the atom in μB.
Fractional coordinates of all 8 atoms:
K: 0.5000 0.7500 0.2500  0.00
K: 0.0000 0.0000 0.0000  0.00
Ce: 0.5000 0.2500 0.7500  -0.07
Ni: 0.0000 0.5000 0.5000  1.69
O: 0.5954 0.3669 0.4491  0.08
O: 0.0822 0.2286 0.6331  0.08
O: 0.9178 0.5509 0.1463  0.08
O: 0.4046 0.8537 0.7715  0.08

Output
Its space group is I-4. The density of states at the Fermi level is 5.9 states/eV/f.u. As for the total DFT energy (no corrections): -5.642 eV per atom.